No. 1
RhSF: relaxed, PBE.

* total magnetization: 0.000 μB/cell
* volume: 45 Å³/f.u.
* raw formation energy: -0.93 eV/atom

Cell lengths 6.1374, 5.2043, 6.9273 Å; angles 90.00, 125.52, 90.00 degrees
Last column: nearest neighbours and their distance in Å.
Positions (direct):
Rh 0.5184 0.4888 0.2583  3 F 2.22-2.36, 3 S 2.24-2.27
Rh 0.4816 0.5112 0.7417  3 F 2.22-2.36, 3 S 2.24-2.27
Rh 0.0184 0.0112 0.7583  3 F 2.22-2.36, 3 S 2.24-2.27
Rh 0.9816 0.9888 0.2417  3 F 2.22-2.36, 3 S 2.24-2.27
S 0.2269 0.3927 0.8670  3 Rh 2.24-2.27
S 0.7731 0.6073 0.1330  3 Rh 2.24-2.27
S 0.2731 0.8927 0.6330  3 Rh 2.24-2.27
S 0.7269 0.1073 0.3670  3 Rh 2.24-2.27
F 0.2170 0.8366 0.1149  3 Rh 2.22-2.36
F 0.7170 0.6634 0.6149  3 Rh 2.22-2.36
F 0.7830 0.1634 0.8851  3 Rh 2.22-2.36
F 0.2830 0.3366 0.3851  3 Rh 2.22-2.36

***

No. 2
PaInNi: relaxed, PBE.

* total magnetization: 0.019 μB/cell
* volume: 59 Å³/f.u.
* ΔE_f: -0.233 eV/atom

Cell lengths 3.1867, 3.1867, 6.2766 Å; angles 104.71, 104.71, 90.00 degrees
Last column: nearest neighbours and their distance in Å.
Positions (direct):
Ni 0.6659 0.6659 0.3318  4 Pa 2.80, 4 In 2.81
Pa 0.0244 0.0244 0.0489  4 Ni 2.80
In 0.3097 0.3097 0.6193  4 Ni 2.81

***

No. 3
SrLi2Au3: relaxed, PBE.

* total magnetization: 0.000 μB/cell
* volume: 130 Å³/f.u.
* ΔE_f: -0.587 eV/atom

Cell lengths 5.3798, 7.0349, 7.0349 Å; angles 101.45, 90.00, 90.00 degrees
Last column: nearest neighbours and their distance in Å.
Positions (direct):
Sr 0.2500 0.2959 0.2959  9 Au 3.22-3.45
Sr 0.7500 0.7041 0.7041  9 Au 3.22-3.45
Li 0.5000 0.7919 0.2081  6 Au 2.63-2.79, 2 Li 2.69
Li 0.0000 0.7919 0.2081  6 Au 2.63-2.79, 2 Li 2.69
Li 0.0000 0.2081 0.7919  6 Au 2.63-2.79, 2 Li 2.69
Li 0.5000 0.2081 0.7919  6 Au 2.63-2.79, 2 Li 2.69
Au 0.7500 0.4720 0.0774  4 Li 2.63-2.79, 1 Au 2.84
Au 0.7500 0.0774 0.4720  4 Li 2.63-2.79, 1 Au 2.84
Au 0.2500 0.5280 0.9226  4 Li 2.63-2.79, 1 Au 2.84
Au 0.7500 0.0658 0.0658  4 Li 2.70, 4 Au 2.84-2.93
Au 0.2500 0.9342 0.9342  4 Li 2.70, 4 Au 2.84-2.93
Au 0.2500 0.9226 0.5280  4 Li 2.63-2.79, 1 Au 2.84

***

No. 4
NdHgH6Pd4: relaxed, PBE.

* total magnetization: 0.000 μB/cell
* volume: 137 Å³/f.u.
* E: -4.09 eV/atom

Cell lengths 4.7902, 4.7902, 6.8855 Å; angles 90.00, 90.00, 120.00 degrees
Last column: nearest neighbours and their distance in Å.
Positions (direct):
Nd 0.0000 0.0000 0.5000  12 H 2.59
Hg 0.0000 0.0000 0.0000  12 Pd 3.09, 12 H 3.43, 2 Nd 3.44
H 0.5000 0.5000 0.3559  2 Pd 1.75
H 0.5000 0.5000 0.6441  2 Pd 1.75
H 0.5000 0.0000 0.3559  2 Pd 1.75
H 0.0000 0.5000 0.3559  2 Pd 1.75
H 0.5000 0.0000 0.6441  2 Pd 1.75
H 0.0000 0.5000 0.6441  2 Pd 1.75
Pd 0.6667 0.3333 0.1999  3 H 1.75
Pd 0.3333 0.6667 0.1999  3 H 1.75
Pd 0.3333 0.6667 0.8001  3 H 1.75
Pd 0.6667 0.3333 0.8001  3 H 1.75